1.
An optimized crystal structure of AcLaPu. Source: OQMD, functional PBE-GGA.

Calculated values
Formation energy from the elements in meV per atom: 737.6
E in eV per cell: -20.9

```
AcLaPu
1.0
0.000 3.777 3.777
3.777 0.000 3.777
3.777 3.777 0.000
Ac La Pu
1 1 1
Cartesian
0.000 0.000 0.000
1.889 1.889 1.889
3.777 3.777 3.777
```

---

2.
An optimized crystal structure of LiZrCuS3. Source: OQMD, functional PBE-GGA.

Calculated values
E in eV per cell: -133.5

```
LiZrCuS3
1.0
11.184 0.000 0.000
0.000 3.667 0.000
0.000 0.000 10.540
Li Zr Cu S
4 4 4 12
Cartesian
1.479 0.917 0.171
4.113 2.750 5.441
7.071 0.917 5.099
9.705 2.750 10.369
0.636 0.917 7.105
4.956 2.750 1.836
6.228 0.917 8.704
10.548 2.750 3.434
2.735 0.917 2.993
2.857 2.750 8.263
8.327 0.917 2.277
8.449 2.750 7.547
0.695 2.750 8.992
0.939 0.917 4.401
2.522 2.750 1.574
3.070 0.917 6.844
4.653 2.750 9.671
4.897 0.917 3.722
6.287 2.750 6.818
6.531 0.917 0.869
8.114 2.750 3.696
8.662 0.917 8.966
10.245 2.750 6.139
10.489 0.917 1.548
```

---

3.
An optimized crystal structure of DyFe2. Source: OQMD, functional PBE-GGA.

Calculated values
Formation energy from the elements in meV per atom: -75.6
E in eV per cell: -42.9

```
DyFe2
1.0
0.000 3.603 3.603
3.603 0.000 3.603
3.603 3.603 0.000
Dy Fe
2 4
Cartesian
0.901 0.901 0.901
6.305 6.305 6.305
3.603 1.801 1.801
1.801 3.603 1.801
1.801 1.801 3.603
3.603 3.603 3.603
```

---

4.
An optimized crystal structure of TlOsAuSeS2. Source: OQMD, functional PBE-GGA.

Calculated values
E in eV per cell: -57.9

```
TlOsAuSeS2
1.0
1.843 -7.589 0.000
1.843 7.589 0.000
0.000 0.000 9.684
Tl Os Au Se S
2 2 2 2 4
Cartesian
1.843 4.625 7.263
1.843 -4.625 2.421
1.843 0.000 0.000
1.843 0.000 4.842
1.843 5.264 2.421
1.843 -5.264 7.263
1.843 0.671 2.421
1.843 -0.671 7.263
1.843 6.064 0.211
1.843 6.064 4.630
1.843 -6.064 5.053
1.843 -6.064 9.472
```

---

5.
An optimized crystal structure of Cs2HoTlI6. Source: OQMD, functional PBE-GGA.

Calculated values
E in eV per cell: -31.1

```
Cs2HoTlI6
1.0
0.000 6.359 6.359
6.359 0.000 6.359
6.359 6.359 0.000
Cs Ho Tl I
2 1 1 6
Cartesian
3.180 3.180 3.180
9.539 9.539 9.539
0.000 0.000 0.000
6.359 6.359 6.359
6.359 6.359 3.014
6.359 3.014 6.359
9.704 6.359 6.359
3.014 6.359 6.359
6.359 9.704 6.359
6.359 6.359 9.704
```

---

6.
An optimized crystal structure of PrNdPt2. Source: OQMD, functional PBE-GGA.

Calculated values
Formation energy from the elements in meV per atom: -1128.1
E in eV per cell: -26.2

```
PrNdPt2
1.0
4.594 0.000 0.000
0.000 1.957 5.446
0.000 -1.957 5.446
Pr Nd Pt
1 1 2
Cartesian
0.000 0.000 0.000
2.297 0.000 7.902
0.000 0.000 2.991
2.297 0.000 4.900
```

---

7.
An optimized crystal structure of HoEr2Al3CuGe2. Source: OQMD, functional PBE-GGA.

Calculated values
E in eV per cell: -43.8

```
HoEr2Al3CuGe2
1.0
4.143 0.000 0.000
0.000 6.043 3.488
0.000 -6.043 3.488
Ho Er Al Cu Ge
1 2 3 1 2
Cartesian
0.000 0.000 0.000
0.000 -2.435 2.760
0.000 2.435 2.760
2.072 0.000 2.545
2.072 -1.403 4.976
2.072 1.403 4.976
0.000 0.000 4.165
2.072 -4.028 4.166
2.072 4.028 4.166
```

---

8.
An optimized crystal structure of Zr3As. Source: OQMD, functional PBE-GGA.

Calculated values
E in eV per cell: -63.6

```
Zr3As
1.0
4.916 0.000 0.000
0.000 5.815 0.000
0.000 0.000 5.690
Zr As
6 2
Cartesian
1.229 0.011 0.822
1.229 2.896 0.822
1.229 4.361 3.506
3.687 1.454 2.183
3.687 2.919 4.868
3.687 5.804 4.868
1.229 1.454 3.813
3.687 4.361 1.876
```